YCrNO2: optimized geometry, PBE with a Hubbard U.

It has space group P4/mmm (No. 123), with a = 3.885 Å, b = 3.885 Å, c = 3.742 Å, α = 90.00°, β = 90.00° and γ = 90.00°. The inequivalent atoms are Y at (0.000, 0.000, 0.000), Cr at (0.500, 0.500, 0.500), N at (0.500, 0.500, 0.000) and O at (0.000, 0.500, 0.500).

The value obtained for the density of states at the Fermi level is 0.176 states/eV per atom. The total energy comes out at -8.101 eV/atom.